VASP calculation (PBE) on a relaxed MgPdO crystal.

raw formation energy: -27.72 kcal/mol of atoms
symmetry: Pnma

Cell lengths 7.758, 3.111, 6.986 Å; angles 90.00, 90.00, 90.00 degrees
Sites, in units of the cell vectors:
Mg 0.038 0.250 0.172
Mg 0.462 0.750 0.672
Mg 0.538 0.250 0.328
Mg 0.962 0.750 0.828
Pd 0.134 0.750 0.502
Pd 0.366 0.250 0.002
Pd 0.634 0.750 0.998
Pd 0.866 0.250 0.498
O 0.150 0.750 0.033
O 0.350 0.250 0.533
O 0.650 0.750 0.467
O 0.850 0.250 0.967